Below is a relaxed ZrRuCl2 crystal, with properties calculated at the PBE-GGA level.

a b c (Å): 3.1482 3.1482 25.1208
angles (deg): 90.00 90.00 120.00
Space group R-3m (No. 166, hexagonal axes)
Symmetry-distinct sites (fractional):
Zr: 0.0000 0.0000 0.0000 (multiplicity 3)
Ru: 0.0000 0.0000 0.5000 (multiplicity 3)
Cl: 0.0000 0.0000 0.4081 (multiplicity 6)

Values from the calculation:
ΔE_f (raw) = -0.321 eV/atom
ΔE to the lowest computed polymorph = 279.1 meV per atom
D(E_F) = 3.07 states/eV/f.u.
Calculated density = 6.08 g/cm3